Record 1
SrZnHCl2 | PBE-GGA | relaxed

Final energy ... -11.91 eV/cell
Symmetry ... P4/mmm (123)

Cell: 4.721 6.340 4.721 Å, 90.00 90.00 90.00°
Positions (direct):
Sr  0.000  0.500  0.000
Zn  0.000  0.000  0.000
H  0.500  0.500  0.500
Cl  0.500  0.000  0.000
Cl  0.000  0.000  0.500


Record 2
TaH2Cl4 | PBE-GGA | relaxed

Final energy ... -27.72 eV/cell
Symmetry ... P2/m (10)

Cell: 3.350 6.730 9.048 Å, 112.53 90.00 90.00°
Site moments in Bohr magnetons follow the coordinates.
Positions (direct):
Cl  0.000  0.181  0.787  0.01
Cl  0.000  0.962  0.213  0.01
H  0.500  0.331  0.513  0.38
Cl  0.500  0.788  0.859  0.00
Ta  0.000  0.071  0.000  -0.02
Cl  0.500  0.355  0.141  0.00
H  0.500  0.812  0.487  0.38


Record 3
TaH2Cl6 | PBE-GGA | relaxed

Symmetry ... P2_1/c (14)
Energy above the most stable polymorph in this dataset ... 44 meV/atom

Cell: 5.788 7.266 11.932 Å, 90.00 92.81 90.00°
Site moments in Bohr magnetons follow the coordinates.
Positions (direct):
Ta  0.000  0.000  0.500  0.72
Cl  0.781  0.536  0.164  0.01
Cl  0.833  0.723  0.547  -0.01
Cl  0.719  0.036  0.336  0.01
Cl  0.281  0.964  0.664  0.01
Cl  0.259  0.828  0.376  0.01
H  0.491  0.938  0.365  0.01
Cl  0.219  0.464  0.836  0.01
Cl  0.759  0.672  0.876  0.01
Cl  0.333  0.777  0.047  -0.01
H  0.991  0.562  0.865  0.01
Cl  0.167  0.277  0.453  -0.01
Cl  0.741  0.172  0.624  0.01
Ta  0.500  0.500  0.000  0.72
H  0.509  0.062  0.635  0.01
H  0.009  0.438  0.135  0.01
Cl  0.667  0.223  0.953  -0.01
Cl  0.241  0.328  0.124  0.01


Record 4
Ta2HCl | PBE-GGA | relaxed

Symmetry ... I-42d (122)
Energy above the most stable polymorph in this dataset ... 0 meV/atom

Cell: 4.961 4.961 6.080 Å, 65.92 65.92 90.00°
Positions (direct):
Ta  0.875  0.779  0.750
Ta  0.375  0.471  0.750
Ta  0.221  0.625  0.250
Cl  0.750  0.250  0.500
Ta  0.529  0.125  0.250
Cl  0.000  0.000  0.000
H  0.500  0.500  0.000
H  0.250  0.750  0.500


Record 5
TaH2Cl5 | PBE-GGA | relaxed

Final energy ... -31.30 eV/cell
Symmetry ... P1 (1)

Cell: 7.079 7.056 7.201 Å, 75.63 60.43 59.75°
Site moments in Bohr magnetons follow the coordinates.
Positions (direct):
Cl  0.095  0.000  0.628  0.01
Cl  0.907  0.324  0.000  0.01
Ta  0.909  0.999  0.000  0.02
Cl  0.232  0.674  0.999  0.01
Cl  0.724  0.999  0.372  0.01
H  0.133  0.502  0.503  0.38
H  0.637  0.501  0.495  0.38
Cl  0.586  0.000  0.002  0.00


Record 6
TaH6Cl12 | PBE-GGA | relaxed

Final energy ... -67.41 eV/cell
Symmetry ... R-3 (148)

Cell: 8.313 8.313 8.313 Å, 90.52 90.52 90.52°
Site moments in Bohr magnetons follow the coordinates.
Positions (direct):
Cl  0.265  0.081  0.940  0.17
Cl  0.060  0.735  0.919  0.17
Cl  0.536  0.189  0.390  0.01
Ta  0.000  0.000  0.000  -0.06
Cl  0.940  0.265  0.081  0.17
Cl  0.610  0.464  0.811  0.01
Cl  0.081  0.940  0.265  0.17
Cl  0.811  0.610  0.464  0.01
Cl  0.735  0.919  0.060  0.17
H  0.489  0.691  0.707  0.00
H  0.691  0.707  0.489  0.00
Cl  0.189  0.390  0.536  0.01
Cl  0.464  0.811  0.610  0.01
H  0.707  0.489  0.691  0.00
H  0.511  0.309  0.293  0.00
Cl  0.390  0.536  0.189  0.01
Cl  0.919  0.060  0.735  0.17
H  0.293  0.511  0.309  0.00
H  0.309  0.293  0.511  0.00


no.,spin magnetization (μB/cell)
1,0.00
2,1.94
3,2.00
4,0.00
5,2.00
6,1.36